1.
## Rb2RhCl7 (GGA-PBE)

Data for crystalline Rb2RhCl7 at its relaxed geometry.

Geometry as CIF:
```
data_Rb2RhCl7
_cell_length_a 7.306
_cell_length_b 7.306
_cell_length_c 11.132
_cell_angle_alpha 90.00
_cell_angle_beta 90.00
_cell_angle_gamma 90.00
_space_group_name_H-M_alt 'I 4/m m m'
_space_group_IT_number 139
_space_group_name_Hall '-I 4 2'
loop_
_atom_site_label
_atom_site_fract_x
_atom_site_fract_y
_atom_site_fract_z
Rb1 0.000 0.500 0.250
Rh1 0.000 0.000 0.000
Cl1 0.000 0.000 0.210
Cl2 0.000 0.000 0.500
Cl3 0.229 0.229 0.000
```

Formation energy from raw total energies ... -0.94 eV per atom
Raw total energy ... -3.16 eV/atom

***

2.
## Rb2RuRhCl6 (GGA-PBE)

Data for crystalline Rb2RuRhCl6 at its relaxed geometry.

Geometry as CIF:
```
data_Rb2RuRhCl6
_cell_length_a 7.030
_cell_length_b 7.030
_cell_length_c 9.913
_cell_angle_alpha 90.00
_cell_angle_beta 90.00
_cell_angle_gamma 90.00
_space_group_name_H-M_alt 'I 4/m m m'
_space_group_IT_number 139
_space_group_name_Hall '-I 4 2'
loop_
_atom_site_label
_atom_site_fract_x
_atom_site_fract_y
_atom_site_fract_z
Rb1 0.000 0.500 0.250
Ru1 0.000 0.000 0.000
Rh1 0.000 0.000 0.500
Cl1 0.000 0.000 0.248
Cl2 0.247 0.247 0.000
```

Formation energy from raw total energies ... -0.90 eV per atom
Raw total energy ... -3.87 eV/atom

***

3.
## RbRhS2Cl (GGA-PBE)

Data for crystalline RbRhS2Cl at its relaxed geometry.

Geometry as CIF:
```
data_RbRhS2Cl
_cell_length_a 4.665
_cell_length_b 4.665
_cell_length_c 5.481
_cell_angle_alpha 90.00
_cell_angle_beta 90.00
_cell_angle_gamma 90.00
_space_group_name_H-M_alt 'P 4/m m m'
_space_group_IT_number 123
_space_group_name_Hall '-P 4 2'
loop_
_atom_site_label
_atom_site_fract_x
_atom_site_fract_y
_atom_site_fract_z
Rb1 0.000 0.000 0.000
Rh1 0.500 0.500 0.500
S1 0.000 0.500 0.500
Cl1 0.500 0.500 0.000
```

Formation energy from raw total energies ... -0.45 eV per atom
Raw total energy ... -4.14 eV/atom
Excess energy over the best structure of this formula in the dataset ... 0.00 eV/f.u.

***

4.
## RbRhS2Cl (GGA-PBE)

Data for crystalline RbRhS2Cl at its relaxed geometry.

Geometry as CIF:
```
data_RbRhS2Cl
_cell_length_a 5.891
_cell_length_b 5.891
_cell_length_c 5.834
_cell_angle_alpha 90.00
_cell_angle_beta 90.00
_cell_angle_gamma 90.00
_space_group_name_H-M_alt 'P 4/m m m'
_space_group_IT_number 123
_space_group_name_Hall '-P 4 2'
loop_
_atom_site_label
_atom_site_fract_x
_atom_site_fract_y
_atom_site_fract_z
Rb1 0.000 0.000 0.000
Rh1 0.500 0.500 0.500
S1 0.000 0.500 0.000
Cl1 0.000 0.000 0.500
```

Formation energy from raw total energies ... 1.38 eV per atom
Raw total energy ... -2.30 eV/atom
Excess energy over the best structure of this formula in the dataset ... 9.19 eV/f.u.

***

5.
## RbScRhCl6 (GGA-PBE)

Data for crystalline RbScRhCl6 at its relaxed geometry.

Geometry as CIF:
```
data_RbScRhCl6
_cell_length_a 6.604
_cell_length_b 10.965
_cell_length_c 7.514
_cell_angle_alpha 90.00
_cell_angle_beta 92.58
_cell_angle_gamma 90.00
_space_group_name_H-M_alt 'C 1 2 1'
_space_group_IT_number 5
_space_group_name_Hall 'C 2y'
loop_
_atom_site_label
_atom_site_fract_x
_atom_site_fract_y
_atom_site_fract_z
Rb1 0.000 0.000 0.000
Sc1 0.000 0.664 0.500
Rh1 0.000 0.323 0.500
Cl1 0.134 0.483 0.683
Cl2 0.175 0.801 0.713
Cl3 0.179 0.172 0.677
```

Formation energy from raw total energies ... -1.49 eV per atom
Raw total energy ... -4.35 eV/atom

***

6.
## Rb2RhSeCl6 (GGA-PBE)

Data for crystalline Rb2RhSeCl6 at its relaxed geometry.

Geometry as CIF:
```
data_Rb2RhSeCl6
_cell_length_a 7.730
_cell_length_b 7.730
_cell_length_c 9.094
_cell_angle_alpha 90.00
_cell_angle_beta 90.00
_cell_angle_gamma 90.00
_space_group_name_H-M_alt 'I 4/m m m'
_space_group_IT_number 139
_space_group_name_Hall '-I 4 2'
loop_
_atom_site_label
_atom_site_fract_x
_atom_site_fract_y
_atom_site_fract_z
Rb1 0.000 0.500 0.250
Rh1 0.000 0.000 0.000
Se1 0.000 0.000 0.500
Cl1 0.000 0.000 0.250
Cl2 0.221 0.221 0.000
```

Formation energy from raw total energies ... -0.89 eV per atom
Raw total energy ... -3.27 eV/atom

***

7.
## Rb2SrRhCl6 (GGA-PBE)

Data for crystalline Rb2SrRhCl6 at its relaxed geometry.

Geometry as CIF:
```
data_Rb2SrRhCl6
_cell_length_a 10.611
_cell_length_b 10.611
_cell_length_c 10.611
_cell_angle_alpha 90.00
_cell_angle_beta 90.00
_cell_angle_gamma 90.00
_space_group_name_H-M_alt 'F m -3 m'
_space_group_IT_number 225
_space_group_name_Hall '-F 4 2 3'
loop_
_atom_site_label
_atom_site_fract_x
_atom_site_fract_y
_atom_site_fract_z
Rb1 0.250 0.250 0.250
Sr1 0.000 0.000 0.000
Rh1 0.000 0.000 0.500
Cl1 0.000 0.000 0.267
```

Formation energy from raw total energies ... -1.57 eV per atom
Raw total energy ... -3.77 eV/atom

***

8.
## RbTaRhCl2 (GGA-PBE)

Data for crystalline RbTaRhCl2 at its relaxed geometry.

Geometry as CIF:
```
data_RbTaRhCl2
_cell_length_a 4.954
_cell_length_b 4.954
_cell_length_c 5.647
_cell_angle_alpha 90.00
_cell_angle_beta 90.00
_cell_angle_gamma 90.00
_space_group_name_H-M_alt 'P 4/m m m'
_space_group_IT_number 123
_space_group_name_Hall '-P 4 2'
loop_
_atom_site_label
_atom_site_fract_x
_atom_site_fract_y
_atom_site_fract_z
Rb1 0.000 0.000 0.000
Ta1 0.500 0.500 0.000
Rh1 0.000 0.000 0.500
Cl1 0.000 0.500 0.500
```

Formation energy from raw total energies ... 1.14 eV per atom
Raw total energy ... -3.63 eV/atom

***

9.
## RbTcRhCl2 (GGA-PBE)

Data for crystalline RbTcRhCl2 at its relaxed geometry.

Geometry as CIF:
```
data_RbTcRhCl2
_cell_length_a 4.865
_cell_length_b 4.865
_cell_length_c 6.149
_cell_angle_alpha 90.00
_cell_angle_beta 90.00
_cell_angle_gamma 90.00
_space_group_name_H-M_alt 'P 4/m m m'
_space_group_IT_number 123
_space_group_name_Hall '-P 4 2'
loop_
_atom_site_label
_atom_site_fract_x
_atom_site_fract_y
_atom_site_fract_z
Rb1 0.000 0.000 0.000
Tc1 0.500 0.500 0.000
Rh1 0.000 0.000 0.500
Cl1 0.000 0.500 0.500
```

Formation energy from raw total energies ... 0.85 eV per atom
Raw total energy ... -3.63 eV/atom

***

10.
## Rb2TiRhCl6 (GGA-PBE)

Data for crystalline Rb2TiRhCl6 at its relaxed geometry.

Geometry as CIF:
```
data_Rb2TiRhCl6
_cell_length_a 10.116
_cell_length_b 10.116
_cell_length_c 10.116
_cell_angle_alpha 90.00
_cell_angle_beta 90.00
_cell_angle_gamma 90.00
_space_group_name_H-M_alt 'F m -3 m'
_space_group_IT_number 225
_space_group_name_Hall '-F 4 2 3'
loop_
_atom_site_label
_atom_site_fract_x
_atom_site_fract_y
_atom_site_fract_z
Rb1 0.250 0.250 0.250
Ti1 0.000 0.000 0.000
Rh1 0.000 0.000 0.500
Cl1 0.000 0.000 0.243
```

Formation energy from raw total energies ... -1.34 eV per atom
Raw total energy ... -4.16 eV/atom

***

11.
## Rb2VRhCl6 (GGA-PBE)

Data for crystalline Rb2VRhCl6 at its relaxed geometry.

Geometry as CIF:
```
data_Rb2VRhCl6
_cell_length_a 7.331
_cell_length_b 7.331
_cell_length_c 9.094
_cell_angle_alpha 90.00
_cell_angle_beta 90.00
_cell_angle_gamma 90.00
_space_group_name_H-M_alt 'I 4/m m m'
_space_group_IT_number 139
_space_group_name_Hall '-I 4 2'
loop_
_atom_site_label
_atom_site_fract_x
_atom_site_fract_y
_atom_site_fract_z
Rb1 0.000 0.500 0.250
V1 0.000 0.000 0.000
Rh1 0.000 0.000 0.500
Cl1 0.000 0.000 0.248
Cl2 0.237 0.237 0.000
```

Formation energy from raw total energies ... -1.09 eV per atom
Raw total energy ... -4.04 eV/atom

***

What is the formula in the fourth record? RbRhS2Cl

***

The lowest raw total energy belongs to which entry? RbScRhCl6

***

Repeat the seventh record exactly.
## Rb2SrRhCl6 (GGA-PBE)

Data for crystalline Rb2SrRhCl6 at its relaxed geometry.

Geometry as CIF:
```
data_Rb2SrRhCl6
_cell_length_a 10.611
_cell_length_b 10.611
_cell_length_c 10.611
_cell_angle_alpha 90.00
_cell_angle_beta 90.00
_cell_angle_gamma 90.00
_space_group_name_H-M_alt 'F m -3 m'
_space_group_IT_number 225
_space_group_name_Hall '-F 4 2 3'
loop_
_atom_site_label
_atom_site_fract_x
_atom_site_fract_y
_atom_site_fract_z
Rb1 0.250 0.250 0.250
Sr1 0.000 0.000 0.000
Rh1 0.000 0.000 0.500
Cl1 0.000 0.000 0.267
```

Formation energy from raw total energies ... -1.57 eV per atom
Raw total energy ... -3.77 eV/atom

***

Among the records above, which one has the highest formation energy from raw total energies? number 4